# 1
# Li3Bi5P6O24, optimized geometry, DFT GGA-PBEsol
# DOS at the Fermi energy, states/eV/f.u.: 0.00
# Calculated volume, Å³/cell: 502.4
# Formation energy without anion corrections, eV per atom: -2.024
data_Li3Bi5P6O24
_chemical_formula_sum 'Li3 Bi5 P6 O24'
_space_group_name_H-M_alt 'P 1'
_space_group_IT_number 1
_cell_length_a 8.533
_cell_length_b 8.688
_cell_length_c 8.703
_cell_angle_alpha 108.40
_cell_angle_beta 110.00
_cell_angle_gamma 109.05
loop_
_space_group_symop_operation_xyz
'x,y,z'
loop_
_atom_site_label
_atom_site_type_symbol
_atom_site_fract_x
_atom_site_fract_y
_atom_site_fract_z
Li1 Li 0.000 0.000 0.000
Li2 Li 0.184 0.766 0.935
Li3 Li 0.485 0.315 0.704
Bi1 Bi 0.003 0.046 0.581
Bi2 Bi 0.335 0.526 0.210
Bi3 Bi 0.495 0.883 0.732
Bi4 Bi 0.630 0.189 0.373
Bi5 Bi 0.847 0.539 0.210
P1 P 0.123 0.414 0.476
P2 P 0.241 0.911 0.341
P3 P 0.369 0.165 0.968
P4 P 0.614 0.790 0.102
P5 P 0.748 0.655 0.596
P6 P 0.862 0.280 0.845
O1 O 0.065 0.447 0.982
O2 O 0.076 0.885 0.391
O3 O 0.156 0.277 0.545
O4 O 0.157 0.385 0.309
O5 O 0.176 0.899 0.152
O6 O 0.225 0.191 0.026
O7 O 0.251 0.613 0.641
O8 O 0.279 0.750 0.356
O9 O 0.336 0.188 0.793
O10 O 0.360 0.975 0.930
O11 O 0.410 0.727 0.068
O12 O 0.426 0.095 0.495
O13 O 0.572 0.317 0.141
O14 O 0.586 0.711 0.566
O15 O 0.646 0.447 0.543
O16 O 0.653 0.625 0.075
O17 O 0.657 0.862 0.971
O18 O 0.722 0.343 0.877
O19 O 0.751 0.958 0.306
O20 O 0.806 0.683 0.449
O21 O 0.833 0.104 0.864
O22 O 0.836 0.231 0.644
O23 O 0.911 0.375 0.401
O24 O 0.921 0.775 0.788


# 2
# RbBe2RhN, optimized geometry, DFT GGA-PBEsol
# DOS at the Fermi energy, states/eV/f.u.: 4.10
# Calculated volume, Å³/cell: 82.9
# Formation energy without anion corrections, eV per atom: 2.868
data_RbBe2RhN
_chemical_formula_sum 'Rb1 Be2 Rh1 N1'
_space_group_name_H-M_alt 'P 4/m m m'
_space_group_IT_number 123
_space_group_name_Hall '-P 4 2'
_cell_length_a 4.580
_cell_length_b 4.580
_cell_length_c 3.953
_cell_angle_alpha 90.00
_cell_angle_beta 90.00
_cell_angle_gamma 90.00
loop_
_atom_site_label
_atom_site_type_symbol
_atom_site_fract_x
_atom_site_fract_y
_atom_site_fract_z
Rb1 Rb 0.000 0.000 0.000
Be1 Be 0.000 0.500 0.000
Rh1 Rh 0.500 0.500 0.500
N1 N 0.000 0.000 0.500


# 3
# Y2AgAu, optimized geometry, DFT GGA-PBEsol
# DOS at the Fermi energy, states/eV/f.u.: 2.11
# Calculated volume, Å³/cell: 90.4
# Energy of formation, eV/atom: -0.613
data_Y2AgAu
_chemical_formula_sum 'Y2 Ag1 Au1'
_space_group_name_H-M_alt 'P 4/m m m'
_space_group_IT_number 123
_space_group_name_Hall '-P 4 2'
_cell_length_a 3.563
_cell_length_b 3.563
_cell_length_c 7.117
_cell_angle_alpha 90.00
_cell_angle_beta 90.00
_cell_angle_gamma 90.00
loop_
_atom_site_label
_atom_site_type_symbol
_atom_site_fract_x
_atom_site_fract_y
_atom_site_fract_z
Y1 Y 0.000 0.000 0.245
Ag1 Ag 0.500 0.500 0.500
Au1 Au 0.500 0.500 0.000


# 4
# KBeCl, optimized geometry, DFT GGA-PBEsol
# Excess energy over the best structure of this formula in the dataset, meV per atom: 0
# Calculated volume, Å³/cell: 75.7
# Formation energy without anion corrections, eV per atom: -0.056
data_KBeCl
_chemical_formula_sum 'K1 Be1 Cl1'
_space_group_name_H-M_alt 'P 3 m 1'
_space_group_IT_number 156
_cell_length_a 3.7295
_cell_length_b 3.7295
_cell_length_c 6.2859
_cell_angle_alpha 90.00
_cell_angle_beta 90.00
_cell_angle_gamma 120.00
loop_
_space_group_symop_operation_xyz
'x,y,z'
'-y,x-y,z'
'-x+y,-x,z'
'-y,-x,z'
'-x+y,y,z'
'x,x-y,z'
loop_
_atom_site_label
_atom_site_type_symbol
_atom_site_fract_x
_atom_site_fract_y
_atom_site_fract_z
K1 K 0.0000 0.0000 0.0000
Be1 Be 0.3333 0.6667 0.5953
Cl1 Cl 0.6667 0.3333 0.3580


# 5
# AlIrI3, optimized geometry, DFT GGA-PBEsol
# DOS at the Fermi energy, states/eV/f.u.: 5.34
# Calculated volume, Å³/cell: 152.9
# Formation energy without anion corrections, eV per atom: 0.371
data_AlIrI3
_chemical_formula_sum 'Al1 Ir1 I3'
_space_group_name_H-M_alt 'P m -3 m'
_space_group_IT_number 221
_space_group_name_Hall '-P 4 2 3'
_cell_length_a 5.347
_cell_length_b 5.347
_cell_length_c 5.347
_cell_angle_alpha 90.00
_cell_angle_beta 90.00
_cell_angle_gamma 90.00
loop_
_atom_site_label
_atom_site_type_symbol
_atom_site_fract_x
_atom_site_fract_y
_atom_site_fract_z
Al1 Al 0.000 0.000 0.000
Ir1 Ir 0.500 0.500 0.500
I1 I 0.000 0.500 0.500


# 6
# SmAgAs2, optimized geometry, DFT GGA-PBEsol
# DOS at the Fermi energy, states/eV/f.u.: 1.14
# Calculated volume, Å³/cell: 162.4
# Energy of formation, eV/atom: -0.811
data_SmAgAs2
_chemical_formula_sum 'Sm2 Ag2 As4'
_space_group_name_H-M_alt 'P 4/n m m'
_space_group_IT_number 129
_cell_length_a 3.982
_cell_length_b 3.982
_cell_length_c 10.244
_cell_angle_alpha 90.00
_cell_angle_beta 90.00
_cell_angle_gamma 90.00
loop_
_space_group_symop_operation_xyz
'x,y,z'
'-x,-y,-z'
'-y+1/2,x,z'
'y+1/2,-x,-z'
'-x+1/2,-y+1/2,z'
'x+1/2,y+1/2,-z'
'y,-x+1/2,z'
'-y,x+1/2,-z'
'x+1/2,-y,-z'
'-x+1/2,y,z'
'-y,-x,-z'
'y,x,z'
'-x,y+1/2,-z'
'x,-y+1/2,z'
'y+1/2,x+1/2,-z'
'-y+1/2,-x+1/2,z'
loop_
_atom_site_label
_atom_site_type_symbol
_atom_site_fract_x
_atom_site_fract_y
_atom_site_fract_z
Sm1 Sm 0.250 0.250 0.230
Ag1 Ag 0.250 0.750 0.500
As1 As 0.250 0.250 0.682
As2 As 0.250 0.750 0.000


# 7
# Ga2Ni2Pd, optimized geometry, DFT GGA-PBEsol
# DOS at the Fermi energy, states/eV/f.u.: 2.47
# Calculated volume, Å³/cell: 126.7
# Energy of formation, eV/atom: -0.427
data_Ga2Ni2Pd
_chemical_formula_sum 'Ga4 Ni4 Pd2'
_space_group_name_H-M_alt 'P 4/m b m'
_space_group_IT_number 127
_space_group_name_Hall '-P 4 2ab'
_cell_length_a 6.827
_cell_length_b 6.827
_cell_length_c 2.719
_cell_angle_alpha 90.00
_cell_angle_beta 90.00
_cell_angle_gamma 90.00
loop_
_atom_site_label
_atom_site_type_symbol
_atom_site_fract_x
_atom_site_fract_y
_atom_site_fract_z
Ga1 Ga 0.156 0.344 0.000
Ni1 Ni 0.140 0.640 0.500
Pd1 Pd 0.000 0.000 0.000


# 8
# V11NiO18, optimized geometry, DFT GGA-PBEsol
# DOS at the Fermi energy, states/eV/f.u.: 11.48
# Calculated volume, Å³/cell: 281.1
# Formation energy without anion corrections, eV per atom: -2.230
data_V11NiO18
_chemical_formula_sum 'V11 Ni1 O18'
_space_group_name_H-M_alt 'P 1'
_space_group_IT_number 1
_cell_length_a 5.465
_cell_length_b 7.270
_cell_length_c 8.295
_cell_angle_alpha 112.36
_cell_angle_beta 104.60
_cell_angle_gamma 100.11
loop_
_space_group_symop_operation_xyz
'x,y,z'
loop_
_atom_site_label
_atom_site_type_symbol
_atom_site_fract_x
_atom_site_fract_y
_atom_site_fract_z
V1 V 0.000 0.000 0.000
V2 V 0.001 0.499 0.000
V3 V 0.303 0.344 0.329
V4 V 0.307 0.847 0.336
V5 V 0.329 0.827 0.666
V6 V 0.337 0.332 0.673
V7 V 0.642 0.684 0.005
V8 V 0.664 0.659 0.332
V9 V 0.670 0.166 0.339
V10 V 0.968 0.009 0.669
V11 V 0.972 0.510 0.668
Ni1 Ni 0.624 0.185 0.000
O1 O 0.043 0.311 0.775
O2 O 0.048 0.314 0.453
O3 O 0.050 0.306 0.106
O4 O 0.250 0.020 0.879
O5 O 0.261 0.030 0.561
O6 O 0.270 0.038 0.226
O7 O 0.369 0.638 0.779
O8 O 0.376 0.645 0.441
O9 O 0.379 0.648 0.117
O10 O 0.592 0.363 0.552
O11 O 0.601 0.366 0.235
O12 O 0.608 0.379 0.891
O13 O 0.702 0.971 0.444
O14 O 0.710 0.969 0.781
O15 O 0.723 0.981 0.117
O16 O 0.928 0.698 0.893
O17 O 0.930 0.695 0.219
O18 O 0.935 0.701 0.557